Record 1
Material: La3SI3
Method: DFT, GGA-PBE
State: optimized geometry

POSCAR file:
```
La3SI3
1.0
2.3476 -8.2018 -6.5603
6.2294 -0.5170 8.7604
-10.3435 -0.5842 2.9137
La S I
12 4 12
Cartesian
2.8652 -8.2664 -1.4235
-1.3254 -4.4377 -2.2822
-4.2629 -2.3412 -0.0696
6.7732 -8.4416 0.1940
-1.0316 -8.4311 -3.0692
1.5255 -6.3434 -4.7643
-0.3830 -6.5112 0.6474
4.0934 -6.8331 2.1945
2.7425 -4.5701 -1.1181
-0.7635 -2.3271 1.1649
-4.3641 -6.5695 -0.2472
-3.5445 -4.9468 2.9878
4.8754 -6.4099 -0.5400
-2.4406 -4.5222 0.3668
0.7322 -6.4267 -2.0017
-2.5859 -0.1460 0.7284
-3.3995 -3.0475 9.9495
-1.1502 -6.9766 3.8970
-4.5037 -4.8884 6.2192
-8.6523 -0.7937 5.0040
2.6322 -2.6653 5.4972
1.7436 -4.4245 1.9900
-5.7471 -2.5376 2.8352
-1.4231 -2.7045 4.3432
2.6438 -6.9612 5.2355
-4.6368 -0.8811 6.5503
-0.6273 -0.7841 8.1118
-0.4014 -4.9526 7.5194
```

Summary:
The calculation puts the raw formation energy at -1.57 eV/atom. The volume comes out at 959 Å³ per cell. For the magnetization, the calculation gives 0.00 μB/f.u.

=====

Record 2
Material: SrZnCr2As
Method: DFT, GGA-PBE
State: optimized geometry

POSCAR file:
```
SrZnCr2As
1.0
4.8671 0.0000 0.0000
0.0000 6.0142 0.0000
0.0000 0.0000 4.8671
Sr As Zn Cr
1 1 1 2
Cartesian
0.0000 3.0071 0.0000
0.0000 0.0000 0.0000
2.4335 3.0071 2.4335
0.0000 0.0000 2.4335
2.4335 0.0000 0.0000
```

Summary:
The value obtained for the formation energy is 42.2 kJ/mol of atoms. The volume comes out at 142 Å³ per cell. For the magnetization, the calculation gives 8.56 μB/f.u.

=====

Record 3
Material: La7ThTl4
Method: DFT, GGA-PBE
State: optimized geometry

POSCAR file:
```
La7ThTl4
1.0
-1.3728 5.7102 1.9541
-0.4483 -0.0081 9.5115
6.4942 3.8298 3.1734
La Th Tl
7 1 4
Cartesian
1.7349 6.5237 11.5629
2.9382 3.0083 3.0760
1.3450 1.3622 6.7670
3.3281 8.1698 7.8719
4.4709 4.4897 9.6263
-0.6864 2.8551 0.9770
0.2022 5.0422 5.0126
0.0000 0.0000 0.0000
3.1947 5.4783 5.8407
1.4784 4.0536 8.7982
4.9993 7.6146 10.6684
-0.3262 1.9174 3.9705
```

Summary:
The value obtained for the formation energy is -9.3 kJ/mol of atoms. The volume comes out at 408 Å³ per cell. For the magnetization, the calculation gives 0.00 μB/f.u.

=====

Record 4
Material: SiPd2RhI
Method: DFT, GGA-PBE
State: optimized geometry

POSCAR file:
```
SiPd2RhI
1.0
4.6215 0.0000 0.0000
0.0000 4.5547 0.0000
0.0000 0.0000 4.6215
I Si Rh Pd
1 1 1 2
Cartesian
2.3108 2.2774 2.3108
0.0000 0.0000 0.0000
0.0000 2.2774 0.0000
0.0000 0.0000 2.3108
2.3108 0.0000 0.0000
```

Summary:
The calculation puts the raw formation energy at 0.12 eV/atom. The volume comes out at 97 Å³ per cell. For the magnetization, the calculation gives 0.00 μB/f.u.